Entry 1:
A relaxed structure of La3BiH, computed with PBEsol.

Values from the calculation:
* E: -5.33 eV per atom
* space-group type: Pm-3m

a = 5.013 Å, b = 5.013 Å, c = 5.013 Å
α = 90.00°, β = 90.00°, γ = 90.00°
Fractional positions:
La  0.000  0.000  0.500
La  0.000  0.500  0.000
La  0.500  0.000  0.000
Bi  0.500  0.500  0.500
H  0.000  0.000  0.000

Entry 2:
A relaxed structure of Li3BiH, computed with PBEsol.

Values from the calculation:
* space-group type: Pm-3m
* ΔE to the lowest computed polymorph: 64.6 kJ/mol of atoms

a = 5.334 Å, b = 5.334 Å, c = 5.334 Å
α = 90.00°, β = 90.00°, γ = 90.00°
Fractional positions:
Li  0.000  0.000  0.500
Li  0.000  0.500  0.000
Li  0.500  0.000  0.000
Bi  0.000  0.000  0.000
H  0.500  0.500  0.500

Entry 3:
A relaxed structure of Li3BiH, computed with PBEsol.

Values from the calculation:
* space-group type: Pm-3m
* ΔE to the lowest computed polymorph: 0.0 kJ/mol of atoms

a = 4.203 Å, b = 4.203 Å, c = 4.203 Å
α = 90.00°, β = 90.00°, γ = 90.00°
Fractional positions:
Li  0.000  0.000  0.500
Li  0.000  0.500  0.000
Li  0.500  0.000  0.000
Bi  0.500  0.500  0.500
H  0.000  0.000  0.000